Record 1
The following is a GGA-PBE calculation of a relaxed AcPm2Pb crystal, from Alexandria via LeMat-Bulk.

The structure in POSCAR format:
```
AcPm2Pb
1.0
3.776 0.000 0.000
-1.888 3.270 0.000
0.000 0.000 34.348
Ac Pm Pb
3 6 3
direct
0.000 0.000 0.000 Ac
0.333 0.667 0.667 Ac
0.667 0.333 0.333 Ac
0.000 0.000 0.577 Pm
0.000 0.000 0.757 Pm
0.333 0.667 0.243 Pm
0.333 0.667 0.424 Pm
0.667 0.333 0.090 Pm
0.667 0.333 0.910 Pm
0.000 0.000 0.166 Pb
0.333 0.667 0.833 Pb
0.667 0.333 0.500 Pb
```

total magnetic moment: 0.0 μB per cell
final energy: -17.83 eV per formula unit
density of states at the Fermi level: 1.1994 states/eV/atom



Record 2
The following is a GGA-PBE calculation of a relaxed MgU3Tl2O12 crystal, from Alexandria via LeMat-Bulk.

The structure in POSCAR format:
```
MgU3Tl2O12
1.0
4.000 2.310 5.927
-4.000 2.310 5.927
0.000 -4.619 5.927
Mg U Tl O
1 3 2 12
direct
0.000 0.000 0.000 Mg
0.000 0.000 0.500 U
0.000 0.500 0.000 U
0.500 0.000 0.000 U
0.389 0.389 0.389 Tl
0.611 0.611 0.611 Tl
0.063 0.063 0.684 O
0.063 0.684 0.063 O
0.071 0.679 0.679 O
0.316 0.937 0.937 O
0.321 0.321 0.929 O
0.321 0.929 0.321 O
0.679 0.071 0.679 O
0.679 0.679 0.071 O
0.684 0.063 0.063 O
0.929 0.321 0.321 O
0.937 0.316 0.937 O
0.937 0.937 0.316 O
```

total magnetic moment: 0.0 μB per cell
final energy: -143.10 eV per formula unit
density of states at the Fermi level: 0.7303 states/eV/atom



Record 3
The following is a GGA-PBE calculation of a relaxed CoTePN2 crystal, from Alexandria via LeMat-Bulk.

The structure in POSCAR format:
```
CoTePN2
1.0
3.386 0.000 0.000
0.000 3.386 0.000
0.000 0.000 7.581
Co Te P N
1 1 1 2
direct
0.000 0.000 0.000 Co
0.500 0.500 0.000 Te
0.500 0.500 0.500 P
0.000 0.500 0.500 N
0.500 0.000 0.500 N
```

total magnetic moment: 0.0 μB per cell
final energy: -27.17 eV per formula unit
density of states at the Fermi level: 0.5921 states/eV/atom



Record 4
The following is a GGA-PBE calculation of a relaxed Pr5Te2Ru2 crystal, from Alexandria via LeMat-Bulk.

The structure in POSCAR format:
```
Pr5Te2Ru2
1.0
8.129 -4.041 0.000
8.129 4.041 0.000
0.000 0.000 7.987
Pr Te Ru
10 4 4
direct
0.000 0.000 0.000 Pr
0.044 0.720 0.659 Pr
0.220 0.544 0.159 Pr
0.280 0.956 0.659 Pr
0.456 0.780 0.159 Pr
0.500 0.500 0.500 Pr
0.544 0.220 0.841 Pr
0.720 0.044 0.341 Pr
0.780 0.456 0.841 Pr
0.956 0.280 0.341 Pr
0.207 0.207 0.000 Te
0.293 0.293 0.500 Te
0.707 0.707 0.500 Te
0.793 0.793 0.000 Te
0.141 0.859 0.360 Ru
0.359 0.641 0.860 Ru
0.641 0.359 0.140 Ru
0.859 0.141 0.640 Ru
```

total magnetic moment: 0.0 μB per cell
final energy: -55.09 eV per formula unit
density of states at the Fermi level: 0.7302 states/eV/atom



Record 5
The following is a GGA-PBE calculation of a relaxed TbDy2Cd8 crystal, from Alexandria via LeMat-Bulk.

The structure in POSCAR format:
```
TbDy2Cd8
1.0
4.079 -7.920 0.000
4.079 7.920 0.000
-3.367 0.000 4.139
Tb Dy Cd
1 2 8
direct
0.000 0.000 0.000 Tb
0.311 0.689 0.500 Dy
0.689 0.311 0.500 Dy
0.102 0.360 0.743 Cd
0.201 0.799 0.000 Cd
0.360 0.102 0.743 Cd
0.486 0.486 0.734 Cd
0.514 0.514 0.266 Cd
0.640 0.898 0.257 Cd
0.799 0.201 0.000 Cd
0.898 0.640 0.257 Cd
```

total magnetic moment: 0.0 μB per cell
final energy: -23.77 eV per formula unit
density of states at the Fermi level: 0.5176 states/eV/atom



Record 6
The following is a GGA-PBE calculation of a relaxed LiReAs2 crystal, from Alexandria via LeMat-Bulk.

The structure in POSCAR format:
```
LiReAs2
1.0
5.778 0.000 0.000
0.000 6.659 0.000
0.000 0.000 3.137
Li Re As
2 2 4
direct
0.000 0.000 0.000 Li
0.500 0.500 0.000 Li
0.000 0.500 0.000 Re
0.500 0.000 0.000 Re
0.250 0.250 0.500 As
0.250 0.750 0.500 As
0.750 0.250 0.500 As
0.750 0.750 0.500 As
```

total magnetic moment: 0.0 μB per cell
final energy: -22.99 eV per formula unit
density of states at the Fermi level: 0.3818 states/eV/atom



Record 7
The following is a GGA-PBE calculation of a relaxed Ba8Pt2Rh crystal, from Alexandria via LeMat-Bulk.

The structure in POSCAR format:
```
Ba8Pt2Rh
1.0
8.328 -4.341 0.000
8.328 4.341 0.000
-2.648 0.000 7.258
Ba Pt Rh
8 2 1
direct
0.110 0.110 0.412 Ba
0.115 0.636 0.074 Ba
0.364 0.885 0.926 Ba
0.374 0.374 0.586 Ba
0.626 0.626 0.414 Ba
0.636 0.115 0.074 Ba
0.885 0.364 0.926 Ba
0.890 0.890 0.588 Ba
0.253 0.253 0.808 Pt
0.747 0.747 0.192 Pt
0.000 0.000 0.000 Rh
```

total magnetic moment: 0.0 μB per cell
final energy: -38.30 eV per formula unit
density of states at the Fermi level: 0.8547 states/eV/atom



Record 8
The following is a GGA-PBE calculation of a relaxed LaHf2As2 crystal, from Alexandria via LeMat-Bulk.

The structure in POSCAR format:
```
LaHf2As2
1.0
4.165 0.000 0.000
0.000 4.165 0.000
0.000 0.000 13.200
La Hf As
2 4 4
direct
0.000 0.000 0.000 La
0.500 0.500 0.500 La
0.000 0.500 0.250 Hf
0.000 0.500 0.750 Hf
0.500 0.000 0.250 Hf
0.500 0.000 0.750 Hf
0.000 0.000 0.387 As
0.000 0.000 0.613 As
0.500 0.500 0.113 As
0.500 0.500 0.887 As
```

total magnetic moment: 0.0 μB per cell
final energy: -38.64 eV per formula unit
density of states at the Fermi level: 0.7434 states/eV/atom



Record 9
The following is a GGA-PBE calculation of a relaxed SrZn2Ni crystal, from Alexandria via LeMat-Bulk.

The structure in POSCAR format:
```
SrZn2Ni
1.0
3.296 0.000 0.000
0.000 3.296 0.000
0.000 0.000 7.031
Sr Zn Ni
1 2 1
direct
0.000 0.000 0.000 Sr
0.500 0.500 0.324 Zn
0.500 0.500 0.676 Zn
0.000 0.000 0.500 Ni
```

total magnetic moment: 0.0 μB per cell
final energy: -10.12 eV per formula unit
density of states at the Fermi level: 0.5107 states/eV/atom



Record 10
The following is a GGA-PBE calculation of a relaxed AcFe2AsN crystal, from Alexandria via LeMat-Bulk.

The structure in POSCAR format:
```
AcFe2AsN
1.0
2.003 -5.502 0.000
2.003 5.502 0.000
0.000 0.000 7.002
Ac Fe As N
2 4 2 2
direct
0.054 0.946 0.750 Ac
0.946 0.054 0.250 Ac
0.342 0.658 0.556 Fe
0.342 0.658 0.944 Fe
0.658 0.342 0.056 Fe
0.658 0.342 0.444 Fe
0.225 0.775 0.250 As
0.775 0.225 0.750 As
0.500 0.500 0.000 N
0.500 0.500 0.500 N
```

total magnetic moment: 0.0 μB per cell
final energy: -36.82 eV per formula unit
density of states at the Fermi level: 0.7017 states/eV/atom



Record 11
The following is a GGA-PBE calculation of a relaxed Sm4Y2Cd crystal, from Alexandria via LeMat-Bulk.

The structure in POSCAR format:
```
Sm4Y2Cd
1.0
16.744 0.000 0.000
0.000 3.536 0.000
-3.999 0.000 7.648
Sm Y Cd
8 4 2
direct
0.082 0.000 0.203 Sm
0.130 0.500 0.892 Sm
0.370 0.000 0.108 Sm
0.418 0.500 0.797 Sm
0.582 0.500 0.203 Sm
0.630 0.000 0.892 Sm
0.870 0.500 0.108 Sm
0.918 0.000 0.797 Sm
0.216 0.000 0.640 Y
0.284 0.500 0.360 Y
0.716 0.500 0.640 Y
0.784 0.000 0.360 Y
0.000 0.000 0.500 Cd
0.500 0.500 0.500 Cd
```

total magnetic moment: 0.0 μB per cell
final energy: -32.49 eV per formula unit
density of states at the Fermi level: 1.3598 states/eV/atom



Record 12
The following is a GGA-PBE calculation of a relaxed MnHgS2 crystal, from Alexandria via LeMat-Bulk.

The structure in POSCAR format:
```
MnHgS2
1.0
3.346 0.000 0.000
-1.673 2.898 0.000
0.000 0.000 27.510
Mn Hg S
3 3 6
direct
0.000 0.000 0.000 Mn
0.333 0.667 0.667 Mn
0.667 0.333 0.333 Mn
0.000 0.000 0.500 Hg
0.333 0.667 0.167 Hg
0.667 0.333 0.833 Hg
0.000 0.000 0.381 S
0.000 0.000 0.619 S
0.333 0.667 0.048 S
0.333 0.667 0.285 S
0.667 0.333 0.715 S
0.667 0.333 0.952 S
```

total magnetic moment: 9.0 μB per cell
final energy: -19.37 eV per formula unit
density of states at the Fermi level: 0.2055 states/eV/atom



Record 13
The following is a GGA-PBE calculation of a relaxed CrAg2Ir crystal, from Alexandria via LeMat-Bulk.

The structure in POSCAR format:
```
CrAg2Ir
1.0
2.773 0.000 0.000
-1.387 2.402 0.000
0.000 0.000 27.981
Cr Ag Ir
3 6 3
direct
0.000 0.000 0.000 Cr
0.333 0.667 0.667 Cr
0.667 0.333 0.333 Cr
0.000 0.000 0.508 Ag
0.000 0.000 0.751 Ag
0.333 0.667 0.175 Ag
0.333 0.667 0.418 Ag
0.667 0.333 0.085 Ag
0.667 0.333 0.842 Ag
0.000 0.000 0.265 Ir
0.333 0.667 0.932 Ir
0.667 0.333 0.598 Ir
```

total magnetic moment: 0.0 μB per cell
final energy: -23.34 eV per formula unit
density of states at the Fermi level: 0.8209 states/eV/atom



Record 14
The following is a GGA-PBE calculation of a relaxed SmCd6Ag2 crystal, from Alexandria via LeMat-Bulk.

The structure in POSCAR format:
```
SmCd6Ag2
1.0
7.809 -5.493 0.000
7.809 5.493 0.000
0.000 0.000 4.853
Sm Cd Ag
2 12 4
direct
0.203 0.797 0.750 Sm
0.797 0.203 0.250 Sm
0.033 0.185 0.750 Cd
0.050 0.379 0.250 Cd
0.185 0.033 0.250 Cd
0.266 0.550 0.250 Cd
0.379 0.050 0.750 Cd
0.450 0.734 0.250 Cd
0.550 0.266 0.750 Cd
0.621 0.950 0.250 Cd
0.734 0.450 0.750 Cd
0.815 0.967 0.750 Cd
0.950 0.621 0.750 Cd
0.967 0.815 0.250 Cd
0.236 0.393 0.750 Ag
0.393 0.236 0.250 Ag
0.607 0.764 0.750 Ag
0.764 0.607 0.250 Ag
```

total magnetic moment: 0.0 μB per cell
final energy: -16.96 eV per formula unit
density of states at the Fermi level: 0.4164 states/eV/atom



Record 15
The following is a GGA-PBE calculation of a relaxed Zr4OsRh2 crystal, from Alexandria via LeMat-Bulk.

The structure in POSCAR format:
```
Zr4OsRh2
1.0
2.311 1.334 7.492
-2.311 1.334 7.492
0.000 -2.668 7.492
Zr Os Rh
4 1 2
direct
0.123 0.123 0.123 Zr
0.374 0.374 0.374 Zr
0.626 0.626 0.626 Zr
0.877 0.877 0.877 Zr
0.500 0.500 0.500 Os
0.250 0.250 0.250 Rh
0.750 0.750 0.750 Rh
```

total magnetic moment: 0.0 μB per cell
final energy: -63.95 eV per formula unit
density of states at the Fermi level: 0.4652 states/eV/atom



Record 16
The following is a GGA-PBE calculation of a relaxed CaZrHg crystal, from Alexandria via LeMat-Bulk.

The structure in POSCAR format:
```
CaZrHg
1.0
5.097 0.000 0.000
-2.548 4.414 0.000
0.000 0.000 3.482
Ca Zr Hg
1 1 1
direct
0.000 0.000 0.000 Ca
0.333 0.667 0.540 Zr
0.667 0.333 0.424 Hg
```

total magnetic moment: 0.0 μB per cell
final energy: -10.62 eV per formula unit
density of states at the Fermi level: 0.9249 states/eV/atom



Record 17
The following is a GGA-PBE calculation of a relaxed DyYH2 crystal, from Alexandria via LeMat-Bulk.

The structure in POSCAR format:
```
DyYH2
1.0
3.656 0.000 0.000
-1.828 3.166 0.000
0.000 0.000 17.621
Dy Y H
3 3 6
direct
0.000 0.000 0.000 Dy
0.333 0.667 0.667 Dy
0.667 0.333 0.333 Dy
0.000 0.000 0.500 Y
0.333 0.667 0.167 Y
0.667 0.333 0.833 Y
0.000 0.000 0.374 H
0.000 0.000 0.626 H
0.333 0.667 0.041 H
0.333 0.667 0.293 H
0.667 0.333 0.707 H
0.667 0.333 0.959 H
```

total magnetic moment: 0.0 μB per cell
final energy: -19.87 eV per formula unit
density of states at the Fermi level: 0.5425 states/eV/atom



Record 18
The following is a GGA-PBE calculation of a relaxed EuY2In crystal, from Alexandria via LeMat-Bulk.

The structure in POSCAR format:
```
EuY2In
1.0
7.813 0.000 0.000
0.000 7.813 0.000
0.000 0.000 7.813
Eu Y In
4 8 4
direct
0.000 0.000 0.000 Eu
0.000 0.500 0.500 Eu
0.500 0.000 0.500 Eu
0.500 0.500 0.000 Eu
0.250 0.250 0.250 Y
0.250 0.250 0.750 Y
0.250 0.750 0.250 Y
0.250 0.750 0.750 Y
0.750 0.250 0.250 Y
0.750 0.250 0.750 Y
0.750 0.750 0.250 Y
0.750 0.750 0.750 Y
0.000 0.000 0.500 In
0.000 0.500 0.000 In
0.500 0.000 0.000 In
0.500 0.500 0.500 In
```

total magnetic moment: 30.3 μB per cell
final energy: -26.49 eV per formula unit
density of states at the Fermi level: 1.4228 states/eV/atom



Record 19
The following is a GGA-PBE calculation of a relaxed NaPuInSn crystal, from Alexandria via LeMat-Bulk.

The structure in POSCAR format:
```
NaPuInSn
1.0
7.541 0.000 0.000
0.000 7.541 0.000
0.000 0.000 7.541
Na Pu In Sn
4 4 4 4
direct
0.000 0.000 0.000 Na
0.000 0.500 0.500 Na
0.500 0.000 0.500 Na
0.500 0.500 0.000 Na
0.000 0.000 0.500 Pu
0.000 0.500 0.000 Pu
0.500 0.000 0.000 Pu
0.500 0.500 0.500 Pu
0.250 0.250 0.750 In
0.250 0.750 0.250 In
0.750 0.250 0.250 In
0.750 0.750 0.750 In
0.250 0.250 0.250 Sn
0.250 0.750 0.750 Sn
0.750 0.250 0.750 Sn
0.750 0.750 0.250 Sn
```

total magnetic moment: 23.2 μB per cell
final energy: -23.01 eV per formula unit
density of states at the Fermi level: 3.3847 states/eV/atom